(1)
First-principles (PBE) data for an optimized crystal structure of Nb4Ir4Rh5, as listed in Alexandria via LeMat-Bulk.

Geometry as POSCAR:
```
Nb4Ir4Rh5
1.0
-5.038 5.038 1.978
5.038 -5.038 1.978
5.038 5.038 -1.978
Nb Ir Rh
4 4 5
Cartesian
7.760 1.369 0.000
1.369 2.317 0.000
3.669 2.721 1.978
-2.721 3.669 1.978
3.857 0.876 0.000
4.162 -1.181 1.978
0.876 6.220 0.000
1.181 4.162 1.978
0.000 0.000 0.000
5.470 3.113 0.000
3.113 4.607 0.000
1.925 0.432 1.978
-0.432 1.925 1.978
```

Output
spin magnetization = 0.0 Bohr magnetons per cell
V = 200.85 Å³ per cell
formation enthalpy at 0 K = -0.4493 eV/atom
calculated total energy = -9.102 eV per atom



(2)
First-principles (PBE) data for an optimized crystal structure of Nb2IrRh, as listed in Alexandria via LeMat-Bulk.

Geometry as POSCAR:
```
Nb2IrRh
1.0
1.415 0.817 9.302
-1.415 0.817 9.302
0.000 -1.633 9.302
Nb Ir Rh
2 1 1
Cartesian
0.000 0.000 6.985
0.000 0.000 20.920
0.000 0.000 13.953
0.000 0.000 0.000
```

Output
spin magnetization = 0.0 Bohr magnetons per cell
V = 64.48 Å³ per cell
formation enthalpy at 0 K = -0.2176 eV/atom
calculated total energy = -9.306 eV per atom



(3)
First-principles (PBE) data for an optimized crystal structure of Nb14IrRh, as listed in Alexandria via LeMat-Bulk.

Geometry as POSCAR:
```
Nb14IrRh
1.0
3.300 -4.674 0.000
3.300 4.674 0.000
0.000 0.000 9.202
Nb Ir Rh
14 1 1
Cartesian
0.000 0.000 0.000
1.650 2.337 0.000
1.650 2.337 4.601
1.646 0.000 2.366
1.646 0.000 6.835
3.300 2.336 2.345
3.300 2.336 6.857
1.650 -2.337 0.000
1.650 -2.337 4.601
3.300 0.000 0.000
3.300 -2.336 2.345
3.300 -2.336 6.857
4.954 0.000 2.366
4.954 0.000 6.835
0.000 0.000 4.601
3.300 0.000 4.601
```

Output
spin magnetization = 0.0 Bohr magnetons per cell
V = 283.90 Å³ per cell
formation enthalpy at 0 K = -0.1769 eV/atom
calculated total energy = -10.001 eV per atom



(4)
First-principles (PBE) data for an optimized crystal structure of Nb11Ir4Rh9, as listed in Alexandria via LeMat-Bulk.

Geometry as POSCAR:
```
Nb11Ir4Rh9
1.0
6.348 -10.445 0.000
6.348 10.445 0.000
0.000 0.000 2.948
Nb Ir Rh
11 4 9
Cartesian
0.000 0.000 0.000
2.740 3.711 0.000
6.348 6.795 0.000
3.470 0.000 0.000
6.348 2.752 0.000
2.740 -3.711 0.000
9.955 3.711 0.000
6.348 -2.752 0.000
9.225 0.000 0.000
6.348 -6.795 0.000
9.955 -3.711 0.000
4.281 2.020 1.474
4.281 -2.020 1.474
8.414 2.020 1.474
8.414 -2.020 1.474
1.507 1.606 1.474
4.925 4.782 1.474
1.507 -1.606 1.474
7.770 4.782 1.474
6.348 0.000 1.474
4.925 -4.782 1.474
11.188 1.606 1.474
7.770 -4.782 1.474
11.188 -1.606 1.474
```

Output
spin magnetization = 0.0 Bohr magnetons per cell
V = 390.89 Å³ per cell
formation enthalpy at 0 K = -0.4144 eV/atom
calculated total energy = -9.263 eV per atom